# AgIrW2 | the Alexandria database | SCAN | PBEsol geometry
# DOS(E_F): 2.8 states/eV/cell
# Energy relative to the lowest polymorph listed for this composition: 123.9 meV/atom
# Uncorrected energy: -240.36 eV per cell
# Symmetry: P4/mmm
data_AgIrW2
_cell_length_a 3.865
_cell_length_b 3.865
_cell_length_c 4.061
_cell_angle_alpha 90.00
_cell_angle_beta 90.00
_cell_angle_gamma 90.00
_space_group_name_H-M_alt 'P 1'
_space_group_IT_number 1
_space_group_name_Hall 'P 1'
loop_
_atom_site_label
_atom_site_fract_x
_atom_site_fract_y
_atom_site_fract_z
Ir1 0.000 0.000 0.500
Ag1 0.500 0.500 0.500
W1 0.000 0.500 0.000
W2 0.500 0.000 0.000


# Sc2CoSn | the Alexandria database | SCAN | PBEsol geometry
# DOS(E_F): 3.0 states/eV/cell
# Uncorrected energy: -80.40 eV per cell
# Symmetry: R-3m
data_Sc2CoSn
_cell_length_a 3.105
_cell_length_b 3.105
_cell_length_c 9.608
_cell_angle_alpha 80.70
_cell_angle_beta 80.70
_cell_angle_gamma 60.00
_space_group_name_H-M_alt 'P 1'
_space_group_IT_number 1
_space_group_name_Hall 'P 1'
loop_
_atom_site_label
_atom_site_fract_x
_atom_site_fract_y
_atom_site_fract_z
Sc1 0.921 0.921 0.237
Sc2 0.079 0.079 0.763
Co1 0.000 0.000 0.000
Sn1 0.500 0.500 0.500


# SbRuS3 | the Alexandria database | SCAN | PBEsol geometry
# Raw formation energy: 288 meV per atom
# DOS(E_F): 4.4 states/eV/cell
# Uncorrected energy: -99.53 eV per cell
# Symmetry: Pm-3m
data_SbRuS3
_cell_length_a 4.556
_cell_length_b 4.556
_cell_length_c 4.556
_cell_angle_alpha 90.00
_cell_angle_beta 90.00
_cell_angle_gamma 90.00
_space_group_name_H-M_alt 'P 1'
_space_group_IT_number 1
_space_group_name_Hall 'P 1'
loop_
_atom_site_label
_atom_site_fract_x
_atom_site_fract_y
_atom_site_fract_z
Sb1 0.500 0.500 0.500
S1 0.000 0.500 0.000
S2 0.000 0.000 0.500
S3 0.500 0.000 0.000
Ru1 0.000 0.000 0.000